## K2CoPb (meta-GGA SCAN)

Data for a crystal of K2CoPb relaxed with PBEsol.

Cell lengths 3.6034, 3.6034, 10.0501 Å; angles 90.00, 90.00, 90.00 degrees
Closest atoms and distances in Å follow each position.
Fractional positions:
K 0.0000 0.0000 0.0000  1 Pb 3.36, 4 Co 3.60, 4 K 3.60
K 0.5000 0.5000 0.4113  1 Co 3.37, 4 K 3.60, 4 Pb 3.61
Co 0.5000 0.5000 0.7468  4 Pb 2.67
Pb 0.0000 0.0000 0.6661  4 Co 2.67

Values from the calculation:
Energy (eV/f.u.): -108.3
M_tot (μB per formula unit): 1.404